Ag5Au3: relaxed, GGA-PBE.

Results
- Relative energy among the computed polymorphs: 0.588 eV/f.u.
- Theoretical density: 12545 kg/m³
- Crystal system: monoclinic

Unit cell a=7.901 b=7.901 c=7.971 alpha=95.74 beta=95.74 gamma=140.94
Element x y z (fractional)
1 Ag 0.086 0.748 0.811
2 Ag 0.252 0.914 0.189
3 Ag 0.260 0.260 0.027
4 Ag 0.282 0.476 0.657
5 Ag 0.476 0.282 0.657
6 Ag 0.524 0.718 0.343
7 Ag 0.718 0.524 0.343
8 Ag 0.740 0.740 0.973
9 Ag 0.748 0.086 0.811
10 Ag 0.914 0.252 0.189
11 Au 0.106 0.106 0.348
12 Au 0.239 0.761 0.500
13 Au 0.330 0.670 0.000
14 Au 0.670 0.330 0.000
15 Au 0.761 0.239 0.500
16 Au 0.894 0.894 0.652